# InAsPt2, relaxed, DFT PBE-GGA
# Calculated volume = 17.948 Å³ per atom
# Energy relative to the elements = 67 meV per atom
# E_tot = -4.800 eV/atom
# M_tot = 0.00 Bohr magnetons per cell
data_InAsPt2
_space_group_name_H-M_alt 'F -4 3 m'
_space_group_IT_number 216
_space_group_name_Hall 'F -4 2 3'
_cell_length_a 6.5974
_cell_length_b 6.5974
_cell_length_c 6.5974
_cell_angle_alpha 90.00
_cell_angle_beta 90.00
_cell_angle_gamma 90.00
loop_
_atom_site_label
_atom_site_type_symbol
_atom_site_fract_x
_atom_site_fract_y
_atom_site_fract_z
In1 In 0.0000 0.0000 0.0000
As1 As 0.2500 0.2500 0.7500
Pt1 Pt 0.0000 0.0000 0.5000
Pt2 Pt 0.2500 0.2500 0.2500